No. 1
Compound: FeMo2As
Source: Alexandria via LeMat-Bulk
Functional: PBE-GGA
Structure: optimized geometry

a = 4.165 Å, b = 3.739 Å, c = 3.739 Å
α = 90.00°, β = 90.00°, γ = 90.00°
Positions (direct):
As 0.500 0.500 0.000
Fe 0.500 0.000 0.500
Mo 0.000 0.000 0.000
Mo 0.000 0.500 0.500

Output
As for the symmetry: No. 123. As for the formation energy: 0.219 eV per atom. The volume comes out at 58.2 Å³ per cell. The value obtained for the density is 9.20 Mg/m³.

***

No. 2
Compound: NpHO3
Source: Alexandria via LeMat-Bulk
Functional: PBE-GGA
Structure: optimized geometry

a = 4.618 Å, b = 4.152 Å, c = 4.149 Å
α = 89.33°, β = 89.98°, γ = 89.97°
Positions (direct):
Np 0.561 0.605 0.609
H 0.061 0.829 0.818
O 0.561 0.107 0.613
O 0.061 0.657 0.657
O 0.561 0.608 0.110

Output
As for the symmetry: No. 6. Its total energy is -42.51 eV/cell. The volume comes out at 79.6 Å³ per cell. The value obtained for the density is 5.97 Mg/m³.

***

No. 3
Compound: La3P2Rh9
Source: Alexandria via LeMat-Bulk
Functional: PBE-GGA
Structure: optimized geometry

a = 6.194 Å, b = 6.194 Å, c = 7.462 Å
α = 90.00°, β = 90.00°, γ = 120.00°
Positions (direct):
La 0.667 0.333 0.663
La 0.000 0.000 0.000
La 0.333 0.667 0.337
P 0.667 0.333 0.202
P 0.333 0.667 0.798
Rh 0.150 0.850 0.655
Rh 0.150 0.301 0.655
Rh 0.500 0.500 0.000
Rh 0.850 0.699 0.345
Rh 0.301 0.150 0.345
Rh 0.699 0.850 0.655
Rh 0.850 0.150 0.345
Rh 0.000 0.500 0.000
Rh 0.500 0.000 0.000

Output
As for the symmetry: No. 164. As for the formation energy: -0.801 eV per atom. The volume comes out at 248.0 Å³ per cell. The value obtained for the density is 9.41 Mg/m³.